# Dy4InCo2Si4 | OQMD | PBE | relaxed
data_Dy4InCo2Si4
_cell_length_a 7.883
_cell_length_b 7.883
_cell_length_c 6.917
_cell_angle_alpha 107.04
_cell_angle_beta 107.04
_cell_angle_gamma 30.49
_symmetry_space_group_name_H-M 'P 1'
_symmetry_Int_Tables_number 1
_symmetry_space_group_name_Hall 'P 1'
loop_
_atom_site_label
_atom_site_fract_x
_atom_site_fract_y
_atom_site_fract_z
Co1 0.781 0.781 0.374
Co2 0.219 0.219 0.626
Dy1 0.345 0.345 0.060
Dy2 0.588 0.588 0.383
Dy3 0.412 0.412 0.617
Dy4 0.655 0.655 0.940
In1 0.000 0.000 0.000
Si1 0.210 0.210 0.280
Si2 0.933 0.933 0.349
Si3 0.067 0.067 0.651
Si4 0.790 0.790 0.720
# **Crystal system**: monoclinic
# **E_tot**: -65.32 eV per formula unit
# **SG**: No. 12